[1]
CaMg4Zn | SCAN | PBEsol geometry

a b c (Å): 3.9525 7.9354 8.9942
angles (deg): 90.00 90.00 90.00
Element x y z (fractional)
1 Ca 0.0000 0.5969 0.2500
2 Ca 0.0000 0.4031 0.7500
3 Mg 0.0000 0.0000 0.0000
4 Mg 0.0000 0.0000 0.5000
5 Mg 0.5000 0.9443 0.2500
6 Mg 0.5000 0.0557 0.7500
7 Mg 0.5000 0.3084 0.0559
8 Mg 0.5000 0.3084 0.4441
9 Mg 0.5000 0.6916 0.9441
10 Mg 0.5000 0.6916 0.5559
11 Zn 0.0000 0.2019 0.2500
12 Zn 0.0000 0.7981 0.7500

## Properties
calculated total energy	-87.69	eV per cell
formation energy from the elements	-12	kJ per mole of atoms

[2]
Ca2Mg4Zn | SCAN | PBEsol geometry

a b c (Å): 6.5323 6.5323 6.5323
angles (deg): 98.97 114.96 114.96
Element x y z (fractional)
1 Ca 0.5000 0.2500 0.7500
2 Ca 0.5000 0.7500 0.2500
3 Mg 0.0000 0.7194 0.2806
4 Mg 0.0000 0.2806 0.7194
5 Mg 0.5612 0.2806 0.2806
6 Mg 0.4388 0.7194 0.7194
7 Zn 0.0000 0.0000 0.0000

## Properties
calculated total energy	-50.97	eV per cell
excess energy over the best structure of this formula in the dataset	320	meV per atom
formation energy from the elements	24	kJ per mole of atoms

[3]
CaMgZn2 | SCAN | PBEsol geometry

a b c (Å): 4.9102 4.9102 7.9711
angles (deg): 90.00 90.00 120.00
Element x y z (fractional)
1 Ca 0.0000 0.0000 0.0000
2 Ca 0.0000 0.0000 0.5000
3 Mg 0.3333 0.6667 0.7500
4 Mg 0.6667 0.3333 0.2500
5 Zn 0.3333 0.6667 0.4015
6 Zn 0.6667 0.3333 0.9015
7 Zn 0.6667 0.3333 0.5985
8 Zn 0.3333 0.6667 0.0985

## Properties
calculated total energy	-84.98	eV per cell
formation energy from the elements	-20	kJ per mole of atoms

[4]
CaMgZn2 | SCAN | PBEsol geometry

a b c (Å): 3.5574 4.3139 5.8232
angles (deg): 90.00 107.79 90.00
Element x y z (fractional)
1 Mg 0.3974 0.5000 0.7948
2 Ca 0.0891 0.0000 0.1783
3 Zn 0.8153 0.0000 0.6306
4 Zn 0.6925 0.5000 0.3850

## Properties
calculated total energy	-42.52	eV per cell
formation energy from the elements	-21	kJ per mole of atoms

[5]
Ca2MgZn2 | SCAN | PBEsol geometry

a b c (Å): 4.6618 4.6618 6.7071
angles (deg): 90.00 90.00 120.00
Element x y z (fractional)
1 Mg 0.0000 0.0000 0.0000
2 Zn 0.6667 0.3333 0.1221
3 Zn 0.3333 0.6667 0.8779
4 Ca 0.6667 0.3333 0.6746
5 Ca 0.3333 0.6667 0.3254

## Properties
calculated total energy	-52.21	eV per cell
formation energy from the elements	-17	kJ per mole of atoms

[6]
CaMgZn | SCAN | PBEsol geometry

a b c (Å): 5.0158 5.0158 5.0158
angles (deg): 60.00 60.00 60.00
Element x y z (fractional)
1 Ca 0.2500 0.2500 0.2500
2 Mg 0.0000 0.0000 0.0000
3 Zn 0.5000 0.5000 0.5000

## Properties
calculated total energy	-26.90	eV per cell
formation energy from the elements	40	kJ per mole of atoms